Entry 1:
Computed, not measured: a geometry-optimized CsCoBAs2 structure at the PBE level of DFT.

Cell: 5.5558 5.5558 4.8775 Å, 90.00 90.00 90.00°
Sites, in units of the cell vectors:
Cs  0.0000  0.0000  0.0000
Co  0.5000  0.5000  0.5000
B  0.0000  0.0000  0.5000
As  0.0000  0.5000  0.0000
As  0.5000  0.0000  0.0000

Summary:
- total magnetic moment (μB per cell) = 0.0
- density of states at the Fermi level (states/eV/f.u.) = 12.00
- E_form (eV per atom) = 2.907
- volume (Å³/cell) = 150.6


Entry 2:
Computed, not measured: a geometry-optimized LaMg2Sn2 structure at the PBE level of DFT.

Cell: 6.5162 6.5162 6.5162 Å, 134.04 134.04 67.03°
Sites, in units of the cell vectors:
La  0.0000  0.0000  0.0000
Mg  0.3737  0.3737  0.0000
Mg  0.6263  0.6263  0.0000
Sn  0.2500  0.7500  0.5000
Sn  0.7500  0.2500  0.5000

Summary:
- excess energy over the best structure of this formula in the dataset (eV per atom) = 0.169
- total magnetic moment (μB per cell) = 0.0
- density of states at the Fermi level (states/eV/f.u.) = 2.46
- E_form (eV per atom) = -0.307
- volume (Å³/cell) = 140.7


Entry 3:
Computed, not measured: a geometry-optimized Zn4SnGe structure at the PBE level of DFT.

Cell: 5.3921 5.3921 5.3921 Å, 60.00 60.00 60.00°
Sites, in units of the cell vectors:
Zn  0.1255  0.1255  0.1255
Zn  0.1255  0.1255  0.6236
Zn  0.1255  0.6236  0.1255
Zn  0.6236  0.1255  0.1255
Sn  0.7500  0.7500  0.7500
Ge  0.5000  0.5000  0.5000

Summary:
- total magnetic moment (μB per cell) = 0.0
- density of states at the Fermi level (states/eV/f.u.) = 4.95
- E_form (eV per atom) = 0.177
- volume (Å³/cell) = 110.9


Entry 4:
Computed, not measured: a geometry-optimized Dy4SnSb2Te structure at the PBE level of DFT.

Cell: 7.6034 4.3621 7.6124 Å, 90.00 109.20 90.00°
Sites, in units of the cell vectors:
Dy  0.2453  0.0000  0.2415
Dy  0.2487  0.5000  0.7531
Dy  0.7513  0.5000  0.2469
Dy  0.7547  0.0000  0.7585
Sn  0.5000  0.0000  0.0000
Sb  0.0000  0.0000  0.5000
Sb  0.0000  0.5000  0.0000
Te  0.5000  0.5000  0.5000

Summary:
- total magnetic moment (μB per cell) = 0.0
- density of states at the Fermi level (states/eV/f.u.) = 1.71
- ΔE_f (raw) (eV per atom) = -1.088
- volume (Å³/cell) = 238.4